(1)
Entry from Alexandria: crystalline Ce4Dy at its relaxed geometry (PBE-GGA).

The structure in POSCAR format:
```
Ce4Dy
1.0
5.653 0.000 0.000
0.000 5.653 0.000
0.000 0.000 5.653
Ce Dy
4 1
Direct
0.500 0.000 0.500
0.000 0.000 0.000
0.000 0.500 0.500
0.500 0.500 0.000
0.500 0.500 0.500
```

Calculated values
symmetry	Pm-3m, No. 221
E above lowest polymorph	763.9	meV/atom
D(E_F)	24.136	states/eV per cell
DFT total energy	-4.827	eV per atom

---

(2)
Entry from Alexandria: crystalline NaGe2Pd at its relaxed geometry (PBE-GGA).

The structure in POSCAR format:
```
NaGe2Pd
1.0
3.222 0.000 0.000
0.000 3.222 0.000
0.000 0.000 7.345
Ge Pd Na
2 1 1
Direct
0.000 0.000 0.804
0.000 0.000 0.196
0.500 0.500 0.000
0.500 0.500 0.500
```

Calculated values
symmetry	P4/mmm, No. 123
D(E_F)	0.907	states/eV per cell
DFT total energy	-4.183	eV per atom

---

(3)
Entry from Alexandria: crystalline La8CoN2 at its relaxed geometry (PBE-GGA).

The structure in POSCAR format:
```
La8CoN2
1.0
6.440 0.076 0.058
0.136 7.886 0.862
0.136 2.953 7.362
La Co N
8 1 2
Direct
0.742 0.175 0.175
0.264 0.346 0.346
0.258 0.825 0.825
0.736 0.654 0.654
0.754 0.130 0.684
0.246 0.870 0.316
0.754 0.684 0.130
0.246 0.316 0.870
0.000 0.000 0.000
0.633 0.813 0.813
0.367 0.187 0.187
```

Calculated values
formation energy without anion corrections	-0.44	eV/atom
symmetry	C2/m, No. 12
D(E_F)	12.953	states/eV per cell
DFT total energy	-6.178	eV per atom

---

(4)
Entry from Alexandria: crystalline Cs2PuBr2Cl4 at its relaxed geometry (PBE-GGA).

The structure in POSCAR format:
```
Cs2PuBr2Cl4
1.0
7.822 -0.064 -0.093
-3.811 6.831 0.093
-3.811 -2.313 6.428
Cl Cs Br Pu
4 2 2 1
Direct
0.000 0.767 0.233
0.533 0.767 0.767
0.000 0.233 0.767
0.467 0.233 0.233
0.500 0.750 0.250
0.500 0.250 0.750
0.000 0.252 0.252
0.000 0.748 0.748
0.000 0.000 0.000
```

Calculated values
formation energy without anion corrections	-1.81	eV/atom
symmetry	I4/mmm, No. 139
D(E_F)	3.977	states/eV per cell
DFT total energy	-4.785	eV per atom

---

(5)
Entry from Alexandria: crystalline SeIBr2N at its relaxed geometry (PBE-GGA).

The structure in POSCAR format:
```
SeIBr2N
1.0
-3.733 1.408 4.239
0.373 -5.407 2.124
4.131 1.515 3.134
Br Se N I
2 1 1 1
Direct
0.500 0.000 0.000
0.000 0.500 0.000
0.000 0.000 0.500
0.500 0.500 0.500
0.000 0.000 0.000
```

Calculated values
formation energy without anion corrections	1.36	eV/atom
symmetry	P4/mmm, No. 123
E above lowest polymorph	341.9	meV/atom
D(E_F)	3.237	states/eV per cell
DFT total energy	-1.981	eV per atom

---

(6)
Entry from Alexandria: crystalline CrFeB4 at its relaxed geometry (PBE-GGA).

The structure in POSCAR format:
```
CrFeB4
1.0
-2.015 -2.136 -0.516
4.391 -4.244 0.420
-1.741 -0.800 10.110
B Cr Fe
16 4 4
Direct
0.500 0.618 0.935
0.500 0.198 0.803
0.500 0.021 0.291
0.500 0.634 0.525
0.500 0.479 0.791
0.500 0.382 0.065
0.500 0.118 0.565
0.500 0.521 0.209
0.500 0.302 0.303
0.500 0.134 0.975
0.500 0.882 0.435
0.500 0.366 0.475
0.500 0.698 0.697
0.500 0.802 0.197
0.500 0.979 0.709
0.500 0.866 0.025
0.000 0.070 0.127
0.000 0.930 0.873
0.000 0.570 0.373
0.000 0.430 0.627
0.000 0.847 0.581
0.000 0.153 0.419
0.000 0.653 0.081
0.000 0.347 0.919
```

Calculated values
symmetry	Pbam, No. 55
D(E_F)	14.872	states/eV per cell
DFT total energy	-7.565	eV per atom

---

(7)
Entry from Alexandria: crystalline KBa2Cl at its relaxed geometry (PBE-GGA).

The structure in POSCAR format:
```
KBa2Cl
1.0
7.721 0.000 0.000
-3.785 6.555 -0.004
0.151 1.461 4.121
Cl Ba K
1 2 1
Direct
0.000 0.500 0.500
0.500 0.000 0.500
0.000 0.000 0.000
0.500 0.500 0.000
```

Calculated values
formation energy without anion corrections	-0.50	eV/atom
symmetry	C2/m, No. 12
E above lowest polymorph	331.3	meV/atom
D(E_F)	3.164	states/eV per cell
DFT total energy	-2.195	eV per atom

---

(8)
Entry from Alexandria: crystalline Ni2BiP at its relaxed geometry (PBE-GGA).

The structure in POSCAR format:
```
Ni2BiP
1.0
-2.382 3.360 -1.881
0.112 -2.150 -3.984
-7.129 -2.732 -1.300
Bi P Ni
2 2 4
Direct
0.000 0.000 0.000
0.750 0.250 0.500
0.250 0.750 0.500
0.500 0.500 0.000
0.497 0.125 0.250
0.375 0.503 0.750
0.253 0.625 0.250
0.875 0.747 0.750
```

Calculated values
symmetry	I-42d, No. 122
D(E_F)	2.788	states/eV per cell
DFT total energy	-5.325	eV per atom

---

(9)
Entry from Alexandria: crystalline ReTeOs4 at its relaxed geometry (PBE-GGA).

The structure in POSCAR format:
```
ReTeOs4
1.0
2.461 -4.521 0.819
-2.135 -3.606 3.099
-1.892 -4.405 -2.046
Os Te Re
4 1 1
Direct
0.376 0.376 0.872
0.376 0.376 0.376
0.376 0.872 0.376
0.872 0.376 0.376
0.000 0.000 0.000
0.750 0.750 0.750
```

Calculated values
formation energy without anion corrections	1.13	eV/atom
symmetry	F-43m, No. 216
D(E_F)	9.018	states/eV per cell
DFT total energy	-8.959	eV per atom

---

(10)
Entry from Alexandria: crystalline Ir4Ru at its relaxed geometry (PBE-GGA).

The structure in POSCAR format:
```
Ir4Ru
1.0
4.606 0.000 0.000
0.000 4.606 0.000
0.000 0.000 4.606
Ir Ru
4 1
Direct
0.000 0.000 0.000
0.500 0.000 0.500
0.500 0.500 0.000
0.000 0.500 0.500
0.500 0.500 0.500
```

Calculated values
symmetry	Pm-3m, No. 221
E above lowest polymorph	2243.9	meV/atom
D(E_F)	7.974	states/eV per cell
DFT total energy	-6.728	eV per atom

---

(11)
Entry from Alexandria: crystalline CsCu2SnTe4 at its relaxed geometry (PBE-GGA).

The structure in POSCAR format:
```
CsCu2SnTe4
1.0
-5.045 4.217 2.569
-7.210 -2.387 -0.542
-1.953 -0.879 7.307
Te Cu Cs Sn
4 2 1 1
Direct
0.900 0.511 0.170
0.100 0.830 0.489
0.420 0.170 0.511
0.580 0.489 0.830
0.130 0.370 0.370
0.870 0.630 0.630
0.000 0.000 0.000
0.500 0.500 0.500
```

Calculated values
formation energy without anion corrections	-0.21	eV/atom
symmetry	I222, No. 23
D(E_F)	8.257	states/eV per cell
DFT total energy	-3.411	eV per atom

---

(12)
Entry from Alexandria: crystalline MgTa2AlSi at its relaxed geometry (PBE-GGA).

The structure in POSCAR format:
```
MgTa2AlSi
1.0
-4.220 1.835 1.252
-1.795 -1.406 -3.991
-1.210 -4.153 2.008
Si Ta Al Mg
1 2 1 1
Direct
0.500 0.500 0.500
0.000 0.000 0.500
0.500 0.000 0.000
0.000 0.000 0.000
0.000 0.500 0.000
```

Calculated values
formation energy without anion corrections	1.30	eV/atom
symmetry	P4/mmm, No. 123
D(E_F)	5.135	states/eV per cell
DFT total energy	-5.588	eV per atom